[1]
{"formula": "CuIrAu2", "functional": "GGA-PBE", "state": "optimized geometry", "sg": "R-3m", "vol_a3_per_cell": 63, "final_energy_ev_per_atom": -4.6533, "relative_energy_kcal_per_mol_atoms": 1.212, "cell": [[1.412, 0.815, 9.132], [-1.412, 0.815, 9.132], [0.000, -1.630, 9.132]], "species": ["Cu", "Ir", "Au", "Au"], "frac_coords": [[0.000, 0.000, 0.000], [0.500, 0.500, 0.500], [0.254, 0.254, 0.254], [0.746, 0.746, 0.746]]}

[2]
{"formula": "CuIr3Au", "functional": "GGA-PBE", "state": "optimized geometry", "sg": "Pm-3m", "vol_a3_per_cell": 90, "final_energy_ev_per_atom": -5.1280, "relative_energy_kcal_per_mol_atoms": 0.000, "cell": [[4.479, 0.000, 0.000], [0.000, 4.479, 0.000], [0.000, 0.000, 4.479]], "species": ["Cu", "Ir", "Ir", "Ir", "Au"], "frac_coords": [[0.000, 0.000, 0.000], [0.000, 0.000, 0.500], [0.000, 0.500, 0.000], [0.500, 0.000, 0.000], [0.500, 0.500, 0.500]]}

[3]
{"formula": "CuIrAu2", "functional": "GGA-PBE", "state": "optimized geometry", "sg": "Cmmm", "vol_a3_per_cell": 64, "final_energy_ev_per_atom": -4.6123, "relative_energy_kcal_per_mol_atoms": 2.159, "cell": [[1.405, -2.405, 0.000], [1.405, 2.405, 0.000], [0.000, 0.000, 9.465]], "species": ["Cu", "Ir", "Au", "Au"], "frac_coords": [[0.000, 0.000, 0.000], [0.000, 0.000, 0.500], [0.500, 0.500, 0.239], [0.500, 0.500, 0.761]]}

[4]
{"formula": "Cu2Ir2Au", "functional": "GGA-PBE", "state": "optimized geometry", "sg": "P4/mbm", "vol_a3_per_cell": 149, "final_energy_ev_per_atom": -5.4746, "relative_energy_kcal_per_mol_atoms": 0.000, "cell": [[7.359, 0.000, 0.000], [0.000, 7.359, 0.000], [0.000, 0.000, 2.749]], "species": ["Cu", "Cu", "Cu", "Cu", "Ir", "Ir", "Ir", "Ir", "Au", "Au"], "frac_coords": [[0.172, 0.328, 0.000], [0.328, 0.828, 0.000], [0.672, 0.172, 0.000], [0.828, 0.672, 0.000], [0.125, 0.625, 0.500], [0.375, 0.125, 0.500], [0.625, 0.875, 0.500], [0.875, 0.375, 0.500], [0.000, 0.000, 0.500], [0.500, 0.500, 0.500]]}

[5]
{"formula": "CuIrAu2", "functional": "GGA-PBE", "state": "optimized geometry", "sg": "Pmmm", "vol_a3_per_cell": 64, "final_energy_ev_per_atom": -4.5760, "relative_energy_kcal_per_mol_atoms": 2.997, "cell": [[2.865, 0.000, 0.000], [0.000, 4.709, 0.000], [0.000, 0.000, 4.721]], "species": ["Cu", "Ir", "Au", "Au"], "frac_coords": [[0.000, 0.000, 0.000], [0.500, 0.500, 0.000], [0.000, 0.500, 0.500], [0.500, 0.000, 0.500]]}

[6]
{"formula": "CuIrAu2", "functional": "GGA-PBE", "state": "optimized geometry", "sg": "P4/mmm", "vol_a3_per_cell": 64, "final_energy_ev_per_atom": -4.6593, "relative_energy_kcal_per_mol_atoms": 1.074, "cell": [[4.775, 0.000, 0.000], [0.000, 4.775, 0.000], [0.000, 0.000, 2.790]], "species": ["Cu", "Ir", "Au", "Au"], "frac_coords": [[0.000, 0.000, 0.000], [0.500, 0.500, 0.000], [0.000, 0.500, 0.500], [0.500, 0.000, 0.500]]}

[7]
{"formula": "CuIrAu2", "functional": "GGA-PBE", "state": "optimized geometry", "sg": "Immm", "vol_a3_per_cell": 64, "final_energy_ev_per_atom": -4.5585, "relative_energy_kcal_per_mol_atoms": 3.399, "cell": [[-1.401, 2.397, 4.735], [1.401, -2.397, 4.735], [1.401, 2.397, -4.735]], "species": ["Cu", "Ir", "Au", "Au"], "frac_coords": [[0.000, 0.000, 0.000], [0.500, 0.500, 0.000], [0.240, 0.740, 0.500], [0.760, 0.260, 0.500]]}

[8]
{"formula": "CuIrAu2", "functional": "GGA-PBE", "state": "optimized geometry", "sg": "R3m", "vol_a3_per_cell": 63, "final_energy_ev_per_atom": -4.7059, "relative_energy_kcal_per_mol_atoms": 0.000, "cell": [[1.400, 0.808, 9.338], [-1.400, 0.808, 9.338], [0.000, -1.617, 9.338]], "species": ["Cu", "Ir", "Au", "Au"], "frac_coords": [[0.000, 0.000, 0.000], [0.740, 0.740, 0.740], [0.254, 0.254, 0.254], [0.494, 0.494, 0.494]]}

[9]
{"formula": "CuIrAu2", "functional": "GGA-PBE", "state": "optimized geometry", "sg": "I-42d", "vol_a3_per_cell": 138, "final_energy_ev_per_atom": -4.2966, "relative_energy_kcal_per_mol_atoms": 9.440, "cell": [[-1.908, 1.908, 9.448], [1.908, -1.908, 9.448], [1.908, 1.908, -9.448]], "species": ["Cu", "Cu", "Ir", "Ir", "Au", "Au", "Au", "Au"], "frac_coords": [[0.000, 0.000, 0.000], [0.750, 0.250, 0.500], [0.250, 0.750, 0.500], [0.500, 0.500, 0.000], [0.125, 0.625, 0.000], [0.375, 0.375, 0.500], [0.625, 0.125, 0.000], [0.875, 0.875, 0.500]]}

[10]
{"formula": "CuIrAu2", "functional": "GGA-PBE", "state": "optimized geometry", "sg": "I-4m2", "vol_a3_per_cell": 63, "final_energy_ev_per_atom": -4.5731, "relative_energy_kcal_per_mol_atoms": 3.064, "cell": [[-2.001, 2.001, 3.944], [2.001, -2.001, 3.944], [2.001, 2.001, -3.944]], "species": ["Cu", "Ir", "Au", "Au"], "frac_coords": [[0.000, 0.000, 0.000], [0.250, 0.750, 0.500], [0.500, 0.500, 0.000], [0.750, 0.250, 0.500]]}

[11]
{"formula": "CuIrAu2", "functional": "GGA-PBE", "state": "optimized geometry", "sg": "I4/mmm", "vol_a3_per_cell": 63, "final_energy_ev_per_atom": -4.5712, "relative_energy_kcal_per_mol_atoms": 3.107, "cell": [[-2.048, 2.048, 3.774], [2.048, -2.048, 3.774], [2.048, 2.048, -3.774]], "species": ["Cu", "Ir", "Au", "Au"], "frac_coords": [[0.000, 0.000, 0.000], [0.500, 0.500, 0.000], [0.250, 0.750, 0.500], [0.750, 0.250, 0.500]]}

[12]
{"formula": "CuIrAu2", "functional": "GGA-PBE", "state": "optimized geometry", "sg": "Imm2", "vol_a3_per_cell": 64, "final_energy_ev_per_atom": -4.6402, "relative_energy_kcal_per_mol_atoms": 1.515, "cell": [[-1.387, 2.395, 4.784], [1.387, -2.395, 4.784], [1.387, 2.395, -4.784]], "species": ["Cu", "Ir", "Au", "Au"], "frac_coords": [[0.000, 0.000, 0.000], [0.229, 0.729, 0.500], [0.486, 0.486, 0.000], [0.754, 0.254, 0.500]]}